# 1
Li8MgHg6 | PBE | relaxed

Its total magnetization is 0.000 μB/f.u. For the formation energy, the calculation gives -0.238 eV/atom. As for the crystal system: trigonal. Its energy is -1.4853 eV/atom.

a = 7.3207 Å, b = 7.3207 Å, c = 7.3207 Å
α = 67.27°, β = 67.27°, γ = 67.27°
Closest atoms and distances in Å follow each position.
Fractional positions:
Li  0.0539  0.7144  0.3822  5 Hg 2.73-2.92
Li  0.1699  0.1699  0.1699  6 Hg 2.81-2.85
Li  0.2856  0.6178  0.9461  5 Hg 2.73-2.92
Li  0.3822  0.0539  0.7144  5 Hg 2.73-2.92
Li  0.6178  0.9461  0.2856  5 Hg 2.73-2.92
Li  0.7144  0.3822  0.0539  5 Hg 2.73-2.92
Li  0.8301  0.8301  0.8301  6 Hg 2.81-2.85
Li  0.9461  0.2856  0.6178  5 Hg 2.73-2.92
Mg  0.5000  0.5000  0.5000  6 Hg 2.92
Hg  0.1035  0.4449  0.7866  7 Li 2.73-2.92, 1 Mg 2.92
Hg  0.2134  0.8965  0.5551  7 Li 2.73-2.92, 1 Mg 2.92
Hg  0.4449  0.7866  0.1035  7 Li 2.73-2.92, 1 Mg 2.92
Hg  0.5551  0.2134  0.8965  7 Li 2.73-2.92, 1 Mg 2.92
Hg  0.7866  0.1035  0.4449  7 Li 2.73-2.92, 1 Mg 2.92
Hg  0.8965  0.5551  0.2134  7 Li 2.73-2.92, 1 Mg 2.92

---

# 2
Ta2AlB | PBE | relaxed

Its total magnetization is 0.000 μB/f.u. For the formation energy, the calculation gives 0.469 eV/atom. As for the crystal system: cubic. The value obtained for the excess energy over the best structure of this formula in the dataset is 0.847 eV per atom. Its energy is -8.0623 eV/atom.

a = 4.3495 Å, b = 4.3495 Å, c = 4.3495 Å
α = 60.00°, β = 60.00°, γ = 60.00°
Closest atoms and distances in Å follow each position.
Fractional positions:
Ta  0.2500  0.2500  0.2500  4 B 2.66, 4 Al 2.66
Ta  0.7500  0.7500  0.7500  4 Al 2.66, 4 B 2.66
Al  0.0000  0.0000  0.0000  8 Ta 2.66
B  0.5000  0.5000  0.5000  8 Ta 2.66

---

# 3
NbHgI2O | PBE | relaxed

Its total magnetization is 0.924 μB/f.u. The uncorrected formation energy comes out at -3.4 eV/f.u. As for the crystal system: tetragonal. The value obtained for the excess energy over the best structure of this formula in the dataset is 0.000 eV per atom. Its energy is -4.3735 eV/atom.

a = 5.8622 Å, b = 5.8622 Å, c = 3.9410 Å
α = 90.00°, β = 90.00°, γ = 90.00°
Closest atoms and distances in Å follow each position.
Fractional positions:
Nb  0.0000  0.0000  0.0000  2 O 1.97
Hg  0.5000  0.5000  0.5000  8 I 3.53, 2 Hg 3.94
I  0.0000  0.5000  0.0000  2 Nb 2.93
I  0.5000  0.0000  0.0000  2 Nb 2.93
O  0.0000  0.0000  0.5000  2 Nb 1.97

---

# 4
Ac2HoMgSe6 | PBE | relaxed

Its total magnetization is 0.000 μB/f.u. The uncorrected formation energy comes out at -16.8 eV/f.u. As for the crystal system: monoclinic. Its energy is -5.2107 eV/atom.

a = 6.8681 Å, b = 7.9252 Å, c = 12.2744 Å
α = 90.00°, β = 122.48°, γ = 90.00°
Closest atoms and distances in Å follow each position.
Fractional positions:
Ac  0.2025  0.1051  0.2475  6 Se 3.10-3.28
Ac  0.2025  0.3949  0.7475  6 Se 3.10-3.28
Ac  0.7975  0.6051  0.2525  6 Se 3.10-3.28
Ac  0.7975  0.8949  0.7525  6 Se 3.10-3.28
Ho  0.5000  0.0000  0.0000  6 Se 2.78-2.85
Ho  0.5000  0.5000  0.5000  6 Se 2.78-2.85
Mg  0.0000  0.0000  0.5000  6 Se 2.66-2.78
Mg  0.0000  0.5000  0.0000  6 Se 2.66-2.78
Se  0.1072  0.1861  0.9437  1 Mg 2.78, 1 Ho 2.82
Se  0.1072  0.3139  0.4437  1 Mg 2.78, 1 Ho 2.82
Se  0.2726  0.6822  0.9438  1 Mg 2.73, 1 Ho 2.85
Se  0.2726  0.8178  0.4438  1 Mg 2.73, 1 Ho 2.85
Se  0.3600  0.0300  0.7419  1 Mg 2.66, 1 Ho 2.78
Se  0.3600  0.4700  0.2419  1 Mg 2.66, 1 Ho 2.78
Se  0.6400  0.5300  0.7581  1 Mg 2.66, 1 Ho 2.78
Se  0.6400  0.9700  0.2581  1 Mg 2.66, 1 Ho 2.78
Se  0.7274  0.1822  0.5562  1 Mg 2.73, 1 Ho 2.85
Se  0.7274  0.3178  0.0562  1 Mg 2.73, 1 Ho 2.85
Se  0.8928  0.6861  0.5563  1 Mg 2.78, 1 Ho 2.82
Se  0.8928  0.8139  0.0563  1 Mg 2.78, 1 Ho 2.82

---

# 5
Sm3GaCo | PBE | relaxed

Its total magnetization is 0.006 μB/f.u. For the formation energy, the calculation gives -0.248 eV/atom. As for the crystal system: monoclinic. The value obtained for the excess energy over the best structure of this formula in the dataset is 0.021 eV per atom. Its energy is -5.1061 eV/atom.

a = 8.3161 Å, b = 8.3161 Å, c = 8.4571 Å
α = 91.32°, β = 91.32°, γ = 26.02°
Closest atoms and distances in Å follow each position.
Fractional positions:
Sm  0.0000  0.0000  0.0000  3 Co 2.86-3.02, 2 Ga 3.15
Sm  0.2015  0.2015  0.6069  4 Ga 3.13-3.31, 1 Co 3.41
Sm  0.2995  0.2995  0.9907  4 Ga 3.13-3.31, 1 Co 3.40
Sm  0.5009  0.5009  0.5974  3 Co 2.86-3.02, 2 Ga 3.14
Sm  0.6469  0.6469  0.2503  3 Co 2.75-2.94
Sm  0.8539  0.8539  0.3473  3 Co 2.76-2.94
Ga  0.6408  0.6408  0.8773  8 Sm 3.13-3.31
Ga  0.8602  0.8602  0.7200  8 Sm 3.13-3.31
Co  0.0354  0.0354  0.3522  2 Co 2.36
Co  0.4653  0.4653  0.2449  2 Co 2.36

---

# 6
Pm2Ir2Pb | PBE | relaxed

Its total magnetization is 0.000 μB/f.u. For the formation energy, the calculation gives -0.604 eV/atom. As for the crystal system: monoclinic. Its energy is -6.7899 eV/atom.

a = 5.8946 Å, b = 5.8946 Å, c = 8.3054 Å
α = 103.09°, β = 103.09°, γ = 57.45°
Closest atoms and distances in Å follow each position.
Fractional positions:
Pm  0.0179  0.6895  0.8512  6 Ir 2.98-3.25
Pm  0.3105  0.9821  0.6488  6 Ir 2.98-3.25
Pm  0.6895  0.0179  0.3512  6 Ir 2.98-3.25
Pm  0.9821  0.3105  0.1488  6 Ir 2.98-3.25
Ir  0.2154  0.4982  0.5033  1 Ir 2.52
Ir  0.4982  0.2154  0.0033  1 Ir 2.52
Ir  0.5018  0.7846  0.9967  1 Ir 2.52
Ir  0.7846  0.5018  0.4967  1 Ir 2.52
Pb  0.3277  0.6723  0.2500  4 Ir 2.83-2.87
Pb  0.6723  0.3277  0.7500  4 Ir 2.83-2.87

---

# 7
CuSiAg2 | PBE | relaxed

Its total magnetization is 0.000 μB/f.u. The uncorrected formation energy comes out at 0.8 eV/f.u. As for the crystal system: tetragonal. Its energy is -3.5985 eV/atom.

a = 3.9596 Å, b = 3.9596 Å, c = 3.9669 Å
α = 90.00°, β = 90.00°, γ = 90.00°
Closest atoms and distances in Å follow each position.
Fractional positions:
Cu  0.0000  0.0000  0.0000  4 Si 2.80, 8 Ag 2.80
Si  0.5000  0.5000  0.0000  4 Cu 2.80, 8 Ag 2.80
Ag  0.0000  0.5000  0.5000  4 Ag 2.80, 4 Si 2.80, 4 Cu 2.80
Ag  0.5000  0.0000  0.5000  4 Ag 2.80, 4 Si 2.80, 4 Cu 2.80

---

# 8
SmEr2Pa | PBE | relaxed

Its total magnetization is 0.000 μB/f.u. For the formation energy, the calculation gives 0.289 eV/atom. As for the crystal system: trigonal. The value obtained for the excess energy over the best structure of this formula in the dataset is 0.178 eV per atom. Its energy is -5.5460 eV/atom.

a = 12.3867 Å, b = 12.3867 Å, c = 12.3867 Å
α = 15.43°, β = 15.43°, γ = 15.43°
Closest atoms and distances in Å follow each position.
Fractional positions:
Sm  0.0000  0.0000  0.0000  6 Sm 3.33, 6 Er 3.50
Er  0.4131  0.4131  0.4131  1 Pa 3.19, 6 Er 3.33, 3 Sm 3.50
Er  0.5869  0.5869  0.5869  1 Pa 3.19, 6 Er 3.33, 3 Sm 3.50
Pa  0.5000  0.5000  0.5000  2 Er 3.19, 6 Pa 3.33

---

# 9
Gd2DyTe | PBE | relaxed

Its total magnetization is 16.183 μB/f.u. The uncorrected formation energy comes out at -1.1 eV/f.u. As for the crystal system: trigonal. The value obtained for the excess energy over the best structure of this formula in the dataset is 0.324 eV per atom. Its energy is -9.2466 eV/atom.

a = 11.0159 Å, b = 11.0159 Å, c = 11.0159 Å
α = 19.96°, β = 19.96°, γ = 19.96°
Closest atoms and distances in Å follow each position.
Fractional positions:
Gd  0.1010  0.1010  0.1010  3 Te 3.06, 1 Dy 3.27
Gd  0.8990  0.8990  0.8990  3 Te 3.06, 1 Dy 3.27
Dy  0.0000  0.0000  0.0000  2 Gd 3.27
Te  0.5000  0.5000  0.5000  6 Gd 3.06

---

# 10
AcTb9Sm2 | PBE | relaxed

Its total magnetization is 0.000 μB/f.u. For the formation energy, the calculation gives 0.031 eV/atom. As for the crystal system: tetragonal. Its energy is -4.5709 eV/atom.

a = 5.0974 Å, b = 5.0974 Å, c = 15.3163 Å
α = 90.00°, β = 90.00°, γ = 90.00°
Closest atoms and distances in Å follow each position.
Fractional positions:
Ac  0.0000  0.0000  0.0000  12 Tb 3.60-3.67
Tb  0.0000  0.5000  0.1725  2 Sm 3.56, 8 Tb 3.58-3.67, 2 Ac 3.67
Tb  0.0000  0.5000  0.5000  8 Tb 3.57-3.60, 4 Sm 3.59
Tb  0.0000  0.5000  0.8275  2 Sm 3.56, 8 Tb 3.58-3.67, 2 Ac 3.67
Tb  0.5000  0.0000  0.1725  2 Sm 3.56, 8 Tb 3.58-3.67, 2 Ac 3.67
Tb  0.5000  0.0000  0.5000  8 Tb 3.57-3.60, 4 Sm 3.59
Tb  0.5000  0.0000  0.8275  2 Sm 3.56, 8 Tb 3.58-3.67, 2 Ac 3.67
Tb  0.5000  0.5000  0.0000  4 Ac 3.60, 8 Tb 3.67
Tb  0.5000  0.5000  0.3363  8 Tb 3.57-3.58, 4 Sm 3.60
Tb  0.5000  0.5000  0.6637  8 Tb 3.57-3.58, 4 Sm 3.60
Sm  0.0000  0.0000  0.3352  12 Tb 3.56-3.60
Sm  0.0000  0.0000  0.6648  12 Tb 3.56-3.60

---

# 11
CrFe2Ir | PBE | relaxed

Its total magnetization is 2.275 μB/f.u. For the formation energy, the calculation gives 0.007 eV/atom. As for the crystal system: monoclinic. Its energy is -8.8455 eV/atom.

a = 4.4521 Å, b = 2.6672 Å, c = 4.4551 Å
α = 90.00°, β = 108.69°, γ = 90.00°
Closest atoms and distances in Å follow each position.
Fractional positions:
Cr  0.0000  0.0000  0.0000  6 Fe 2.59-2.60, 4 Ir 2.60, 2 Cr 2.67
Fe  0.5000  0.0000  0.5000  4 Ir 2.59, 2 Cr 2.60, 6 Fe 2.60-2.67
Fe  0.5000  0.5000  0.0000  4 Cr 2.59, 2 Ir 2.60, 6 Fe 2.60-2.67
Ir  0.0000  0.5000  0.5000  6 Fe 2.59-2.60, 4 Cr 2.60, 2 Ir 2.67

---

# 12
In2BrCl | PBE | relaxed

Its total magnetization is 0.000 μB/f.u. The uncorrected formation energy comes out at -2.9 eV/f.u. As for the crystal system: trigonal. The value obtained for the excess energy over the best structure of this formula in the dataset is 0.016 eV per atom. Its energy is -2.9666 eV/atom.

a = 8.0277 Å, b = 8.0277 Å, c = 8.0277 Å
α = 33.62°, β = 33.62°, γ = 33.62°
Closest atoms and distances in Å follow each position.
Fractional positions:
In  0.2461  0.2461  0.2461  3 Cl 3.23, 3 Br 3.33
In  0.7539  0.7539  0.7539  3 Cl 3.23, 3 Br 3.33
Br  0.0000  0.0000  0.0000  6 In 3.33
Cl  0.5000  0.5000  0.5000  6 In 3.23

---

What did the tenth record say?
AcTb9Sm2 | PBE | relaxed

Its total magnetization is 0.000 μB/f.u. For the formation energy, the calculation gives 0.031 eV/atom. As for the crystal system: tetragonal. Its energy is -4.5709 eV/atom.

a = 5.0974 Å, b = 5.0974 Å, c = 15.3163 Å
α = 90.00°, β = 90.00°, γ = 90.00°
Closest atoms and distances in Å follow each position.
Fractional positions:
Ac  0.0000  0.0000  0.0000  12 Tb 3.60-3.67
Tb  0.0000  0.5000  0.1725  2 Sm 3.56, 8 Tb 3.58-3.67, 2 Ac 3.67
Tb  0.0000  0.5000  0.5000  8 Tb 3.57-3.60, 4 Sm 3.59
Tb  0.0000  0.5000  0.8275  2 Sm 3.56, 8 Tb 3.58-3.67, 2 Ac 3.67
Tb  0.5000  0.0000  0.1725  2 Sm 3.56, 8 Tb 3.58-3.67, 2 Ac 3.67
Tb  0.5000  0.0000  0.5000  8 Tb 3.57-3.60, 4 Sm 3.59
Tb  0.5000  0.0000  0.8275  2 Sm 3.56, 8 Tb 3.58-3.67, 2 Ac 3.67
Tb  0.5000  0.5000  0.0000  4 Ac 3.60, 8 Tb 3.67
Tb  0.5000  0.5000  0.3363  8 Tb 3.57-3.58, 4 Sm 3.60
Tb  0.5000  0.5000  0.6637  8 Tb 3.57-3.58, 4 Sm 3.60
Sm  0.0000  0.0000  0.3352  12 Tb 3.56-3.60
Sm  0.0000  0.0000  0.6648  12 Tb 3.56-3.60

---

- Which of these has the highest energy?
  Li8MgHg6

---

- The highest energy belongs to which entry?
  Li8MgHg6

---

Repeat the fifth record exactly.
Sm3GaCo | PBE | relaxed

Its total magnetization is 0.006 μB/f.u. For the formation energy, the calculation gives -0.248 eV/atom. As for the crystal system: monoclinic. The value obtained for the excess energy over the best structure of this formula in the dataset is 0.021 eV per atom. Its energy is -5.1061 eV/atom.

a = 8.3161 Å, b = 8.3161 Å, c = 8.4571 Å
α = 91.32°, β = 91.32°, γ = 26.02°
Closest atoms and distances in Å follow each position.
Fractional positions:
Sm  0.0000  0.0000  0.0000  3 Co 2.86-3.02, 2 Ga 3.15
Sm  0.2015  0.2015  0.6069  4 Ga 3.13-3.31, 1 Co 3.41
Sm  0.2995  0.2995  0.9907  4 Ga 3.13-3.31, 1 Co 3.40
Sm  0.5009  0.5009  0.5974  3 Co 2.86-3.02, 2 Ga 3.14
Sm  0.6469  0.6469  0.2503  3 Co 2.75-2.94
Sm  0.8539  0.8539  0.3473  3 Co 2.76-2.94
Ga  0.6408  0.6408  0.8773  8 Sm 3.13-3.31
Ga  0.8602  0.8602  0.7200  8 Sm 3.13-3.31
Co  0.0354  0.0354  0.3522  2 Co 2.36
Co  0.4653  0.4653  0.2449  2 Co 2.36